1.
The following is a PBE calculation of a relaxed structure of TmZn17Ru, from the Alexandria database.

Unit cell a=6.766 b=6.766 c=6.766 alpha=82.86 beta=82.86 gamma=82.86
Positions (direct):
Zn 0.180 0.676 0.676
Zn 0.676 0.180 0.676
Zn 0.970 0.970 0.490
Zn 0.623 0.327 0.038
Zn 0.825 0.334 0.334
Zn 0.676 0.676 0.180
Zn 0.490 0.970 0.970
Zn 0.334 0.334 0.825
Zn 0.327 0.623 0.038
Zn 0.327 0.038 0.623
Zn 0.038 0.327 0.623
Zn 0.108 0.108 0.108
Zn 0.334 0.825 0.334
Zn 0.623 0.038 0.327
Zn 0.038 0.623 0.327
Zn 0.897 0.897 0.897
Zn 0.970 0.490 0.970
Tm 0.643 0.643 0.643
Ru 0.422 0.422 0.422

## Properties
DFT total energy (eV/atom): -1.917
Size of the total moment (μB per atom): 0.0000
Energy of formation from the pure elements (meV/atom): -53.7

2.
The following is a PBE calculation of a relaxed structure of B2PdRh4, from the Alexandria database.

Unit cell a=4.842 b=5.706 c=7.348 alpha=112.78 beta=109.23 gamma=90.00
Positions (direct):
Rh 0.820 0.627 0.254
Rh 0.999 0.577 0.625
Rh 0.425 0.232 0.465
Rh 0.210 0.518 0.035
Rh 0.816 0.123 0.246
Rh 0.624 0.701 0.875
Rh 0.624 0.173 0.875
Rh 0.999 0.049 0.625
B 0.499 0.875 0.250
B 0.310 0.373 0.747
B 0.813 0.377 0.753
B 0.498 0.375 0.250
Pd 0.420 0.738 0.477
Pd 0.193 0.012 0.023

## Properties
DFT total energy (eV/atom): -7.026
Size of the total moment (μB per atom): 0.0000
Energy of formation from the pure elements (meV/atom): -175.6

3.
The following is a PBE calculation of a relaxed structure of NaTaZn, from the Alexandria database.

Unit cell a=2.907 b=12.192 c=3.634 alpha=90.01 beta=89.98 gamma=90.02
Positions (direct):
Zn 0.599 0.886 0.845
Zn 0.598 0.538 0.845
Ta 0.599 0.142 0.846
Ta 0.099 0.011 0.345
Na 0.099 0.357 0.346
Na 0.099 0.717 0.346

## Properties
DFT total energy (eV/atom): -4.490
Size of the total moment (μB per atom): 0.0000
Polymorph energy (0 for the lowest one) (kJ/mol of formula units): 55
Energy of formation from the pure elements (meV/atom): 325.5

4.
The following is a PBE calculation of a relaxed structure of KRbGeBr4, from the Alexandria database.

Unit cell a=5.526 b=5.526 c=9.406 alpha=107.08 beta=107.08 gamma=90.00
Positions (direct):
Br 0.997 0.497 0.994
Br 0.497 0.997 0.994
Br 0.838 0.838 0.676
Br 0.168 0.168 0.335
K 0.361 0.361 0.721
Rb 0.640 0.640 0.281
Ge 0.999 0.999 0.998

## Properties
DFT total energy (eV/atom): -3.147
Size of the total moment (μB per atom): 0.0000
Formation energy from raw total energies (meV/atom): -1237

5.
The following is a PBE calculation of a relaxed structure of VCo3H, from the Alexandria database.

Unit cell a=15.809 b=4.069 c=6.747 alpha=90.00 beta=154.93 gamma=90.00
Positions (direct):
V 0.300 0.759 0.151
V 0.200 0.259 0.349
V 0.700 0.241 0.849
V 0.800 0.741 0.651
H 0.877 0.512 0.384
H 0.623 0.012 0.116
H 0.377 0.988 0.884
H 0.123 0.488 0.616
Co 0.836 0.252 0.507
Co 0.664 0.752 0.993
Co 0.415 0.745 0.744
Co 0.585 0.255 0.256
Co 0.336 0.248 0.007
Co 0.958 0.244 0.124
Co 0.458 0.256 0.624
Co 0.085 0.245 0.756
Co 0.915 0.755 0.244
Co 0.164 0.748 0.493
Co 0.042 0.756 0.876
Co 0.542 0.744 0.376

## Properties
DFT total energy (eV/atom): -6.901
Size of the total moment (μB per atom): 0.2856
Polymorph energy (0 for the lowest one) (kJ/mol of formula units): 3

6.
The following is a PBE calculation of a relaxed structure of Nd3Dy4Ho4, from the Alexandria database.

Unit cell a=5.710 b=6.662 c=10.599 alpha=90.00 beta=90.00 gamma=115.38
Positions (direct):
Ho 0.753 0.506 0.786
Ho 0.753 0.506 0.214
Ho 0.891 0.782 0.500
Ho 0.956 0.912 0.000
Dy 0.555 0.110 0.000
Dy 0.102 0.204 0.293
Dy 0.619 0.237 0.500
Dy 0.102 0.204 0.707
Nd 0.406 0.812 0.705
Nd 0.255 0.510 0.000
Nd 0.406 0.812 0.295

## Properties
DFT total energy (eV/atom): -4.481
Size of the total moment (μB per atom): 0.0000
Polymorph energy (0 for the lowest one) (kJ/mol of formula units): 0
Energy of formation from the pure elements (meV/atom): 157.7

7.
The following is a PBE calculation of a relaxed structure of SrScTa, from the Alexandria database.

Unit cell a=8.382 b=8.383 c=3.139 alpha=79.20 beta=79.20 gamma=21.59
Positions (direct):
Ta 0.351 0.351 0.649
Sr 0.676 0.676 0.324
Sc 0.974 0.973 0.026

## Properties
DFT total energy (eV/atom): -6.101
Size of the total moment (μB per atom): 0.0000
Polymorph energy (0 for the lowest one) (kJ/mol of formula units): 0
Energy of formation from the pure elements (meV/atom): 520.9

8.
The following is a PBE calculation of a relaxed structure of SrZn2Cd, from the Alexandria database.

Unit cell a=4.547 b=4.547 c=6.247 alpha=68.66 beta=68.66 gamma=60.10
Positions (direct):
Sr 0.741 0.741 0.776
Zn 0.945 0.945 0.166
Zn 0.273 0.273 0.180
Cd 0.541 0.541 0.378

## Properties
DFT total energy (eV/atom): -1.472
Size of the total moment (μB per atom): 0.0000
Energy of formation from the pure elements (meV/atom): -185.6

9.
The following is a PBE calculation of a relaxed structure of SmGa6Ni6, from the Alexandria database.

Unit cell a=5.029 b=6.532 c=6.532 alpha=79.21 beta=67.36 gamma=67.36
Positions (direct):
Ga 0.312 0.188 0.188
Ga 0.654 0.346 0.346
Ga 0.000 0.656 0.344
Ga 0.688 0.812 0.812
Ga 0.346 0.654 0.654
Ga 0.000 0.344 0.656
Ni 0.500 0.761 0.239
Ni 0.000 0.000 0.500
Ni 0.500 0.239 0.761
Ni 0.500 0.500 0.000
Ni 0.000 0.500 0.000
Ni 0.500 0.000 0.500
Sm 0.000 0.000 0.000

## Properties
DFT total energy (eV/atom): -4.895
Size of the total moment (μB per atom): 0.0000
Energy of formation from the pure elements (meV/atom): -466.6

10.
The following is a PBE calculation of a relaxed structure of TiMnGeRh, from the Alexandria database.

Unit cell a=4.232 b=4.232 c=4.232 alpha=60.00 beta=60.00 gamma=60.00
Positions (direct):
Rh 0.000 0.000 0.000
Ti 0.750 0.750 0.750
Mn 0.500 0.500 0.500
Ge 0.250 0.250 0.250

## Properties
DFT total energy (eV/atom): -7.817
Size of the total moment (μB per atom): 0.0000
Energy of formation from the pure elements (meV/atom): -558.5

11.
The following is a PBE calculation of a relaxed structure of K2Na5Tl2Au, from the Alexandria database.

Unit cell a=3.830 b=13.390 c=13.390 alpha=90.00 beta=90.00 gamma=90.00
Positions (direct):
Na 0.500 0.500 0.000
Na 0.500 0.327 0.556
Na 0.500 0.673 0.444
Na 0.500 0.444 0.327
Na 0.500 0.556 0.673
Na 0.500 0.944 0.173
Na 0.500 0.173 0.056
Na 0.500 0.056 0.827
Na 0.500 0.827 0.944
Na 0.500 0.000 0.500
Tl 0.000 0.863 0.363
Tl 0.000 0.363 0.137
Tl 0.000 0.137 0.637
Tl 0.000 0.637 0.863
K 0.000 0.171 0.329
K 0.000 0.829 0.671
K 0.000 0.329 0.829
K 0.000 0.671 0.171
Au 0.000 0.500 0.500
Au 0.000 0.000 0.000

## Properties
DFT total energy (eV/atom): -1.774
Size of the total moment (μB per atom): 0.0000
Energy of formation from the pure elements (meV/atom): -94.4

12.
The following is a PBE calculation of a relaxed structure of Zr2Cu2Tc, from the Alexandria database.

Unit cell a=3.300 b=3.300 c=8.475 alpha=78.78 beta=78.78 gamma=90.00
Positions (direct):
Zr 0.599 0.599 0.803
Zr 0.401 0.401 0.197
Tc 0.000 0.000 0.000
Cu 0.250 0.750 0.500
Cu 0.750 0.250 0.500

## Properties
DFT total energy (eV/atom): -7.134
Size of the total moment (μB per atom): 0.0000
Polymorph energy (0 for the lowest one) (kJ/mol of formula units): 81
Energy of formation from the pure elements (meV/atom): -3.5

- Which formula does entry 11 have?
  K2Na5Tl2Au

- Which of these has the highest size of the total moment?
  VCo3H